DFT (PBE-GGA) results for Nd2SmTh after structural relaxation.

Lattice parameters (Å, degrees): 3.634 3.634 10.365 90.00 90.00 90.00
Fractional positions:
Nd  0.000  0.000  0.240
Nd  0.000  0.000  0.760
Sm  0.500  0.500  0.500
Th  0.500  0.500  0.000

Spin magnetization, μB per formula unit: 0.00
Calculated formation energy, eV/f.u.: 0.2
E_tot, eV/cell: -21.51
Symmetry: No. 123


DFT (PBE-GGA) results for NbTe2N2 after structural relaxation.

Lattice parameters (Å, degrees): 4.127 4.127 6.129 90.00 90.00 90.00
Fractional positions:
Nb  0.000  0.000  0.000
Te  0.000  0.000  0.500
Te  0.500  0.500  0.500
N  0.000  0.500  0.000
N  0.500  0.000  0.000

Spin magnetization, μB per formula unit: 0.87
E_tot, eV/cell: -30.49
Symmetry: No. 123


DFT (PBE-GGA) results for SrNdEu2 after structural relaxation.

Lattice parameters (Å, degrees): 6.257 6.257 4.308 90.00 90.00 90.00
Fractional positions:
Sr  0.000  0.000  0.000
Nd  0.500  0.500  0.000
Eu  0.000  0.500  0.500
Eu  0.500  0.000  0.500

Spin magnetization, μB per formula unit: 14.45
Calculated formation energy, eV/f.u.: 0.5
E_tot, eV/cell: -26.51
Symmetry: No. 123


DFT (PBE-GGA) results for TbSmSb after structural relaxation.

Lattice parameters (Å, degrees): 4.215 6.331 13.686 90.00 90.00 90.00
Fractional positions:
Tb  0.000  0.000  0.191
Tb  0.000  0.000  0.809
Tb  0.500  0.500  0.309
Tb  0.500  0.500  0.691
Sm  0.000  0.242  0.500
Sm  0.000  0.758  0.500
Sm  0.500  0.258  0.000
Sm  0.500  0.742  0.000
Sb  0.000  0.500  0.145
Sb  0.000  0.500  0.855
Sb  0.500  0.000  0.355
Sb  0.500  0.000  0.645

Spin magnetization, μB per formula unit: 0.00
E_tot, eV/cell: -62.78
Symmetry: No. 71